The following is a PBE calculation of TlSi2Ru after structural relaxation, from the Alexandria database.

Results
The space group is Amm2 (38). The value obtained for the distance to the lowest polymorph of the same formula is 70 kJ/mol of formula units. The value obtained for the electronic total energy is -5.457 eV/atom. Its raw formation energy is 0.1654 eV/atom.

Cell lengths 3.221, 3.777, 6.467 Å; angles 72.97, 90.00, 90.00 degrees
Atoms (fractional coordinates):
Tl 0.000 0.541 0.544
Si 0.500 0.292 0.041
Si 0.000 0.760 0.105
Ru 0.500 0.908 0.810


The following is a PBE calculation of Tl2SiRu2 after structural relaxation, from the Alexandria database.

Results
The space group is I4/mmm (139). The value obtained for the distance to the lowest polymorph of the same formula is 401 kJ/mol of formula units. The value obtained for the electronic total energy is -4.722 eV/atom. Its raw formation energy is 1.0194 eV/atom.

Cell lengths 3.865, 3.865, 7.263 Å; angles 74.57, 74.57, 90.00 degrees
Atoms (fractional coordinates):
Tl 0.750 0.250 0.500
Tl 0.250 0.750 0.500
Si 0.000 0.000 0.000
Ru 0.411 0.411 0.178
Ru 0.589 0.589 0.822


The following is a PBE calculation of TlSiRu after structural relaxation, from the Alexandria database.

Results
The space group is F-43m (216). The value obtained for the distance to the lowest polymorph of the same formula is 86 kJ/mol of formula units. The value obtained for the electronic total energy is -5.280 eV/atom. Its raw formation energy is 0.4080 eV/atom.

Cell lengths 4.356, 4.356, 4.356 Å; angles 60.00, 60.00, 60.00 degrees
Atoms (fractional coordinates):
Ru 0.750 0.750 0.750
Tl 0.500 0.500 0.500
Si 0.000 0.000 0.000


The following is a PBE calculation of TlSi3Ru after structural relaxation, from the Alexandria database.

Results
The space group is Pm-3m (221). The value obtained for the distance to the lowest polymorph of the same formula is 0 kJ/mol of formula units. The value obtained for the electronic total energy is -5.224 eV/atom. Its raw formation energy is 0.3583 eV/atom.

Cell lengths 4.692, 4.692, 4.692 Å; angles 90.00, 90.00, 90.00 degrees
Atoms (fractional coordinates):
Si 0.500 0.000 0.000
Si 0.000 0.500 0.000
Si 0.000 0.000 0.500
Ru 0.000 0.000 0.000
Tl 0.500 0.500 0.500


The following is a PBE calculation of TlSi2Ru after structural relaxation, from the Alexandria database.

Results
The space group is Fm-3m (225). The value obtained for the distance to the lowest polymorph of the same formula is 256 kJ/mol of formula units. The value obtained for the electronic total energy is -4.974 eV/atom. Its raw formation energy is 0.6478 eV/atom.

Cell lengths 4.571, 4.571, 4.571 Å; angles 60.00, 60.00, 60.00 degrees
Atoms (fractional coordinates):
Tl 0.500 0.500 0.500
Ru 0.000 0.000 0.000
Si 0.250 0.250 0.250
Si 0.750 0.750 0.750


The following is a PBE calculation of TlSi2Ru after structural relaxation, from the Alexandria database.

Results
The space group is C2/m (12). The value obtained for the distance to the lowest polymorph of the same formula is 259 kJ/mol of formula units. The value obtained for the electronic total energy is -4.968 eV/atom. Its raw formation energy is 0.6541 eV/atom.

Cell lengths 5.105, 5.018, 3.304 Å; angles 77.30, 77.58, 115.97 degrees
Atoms (fractional coordinates):
Ru 0.500 0.500 0.000
Tl 0.000 0.500 0.500
Si 0.000 0.000 0.000
Si 0.500 0.000 0.500


The following is a PBE calculation of Tl4SiRu after structural relaxation, from the Alexandria database.

Results
The space group is F-43m (216). The value obtained for the electronic total energy is -2.954 eV/atom. Its raw formation energy is 1.0729 eV/atom.

Cell lengths 6.077, 6.077, 6.077 Å; angles 60.00, 60.00, 60.00 degrees
Atoms (fractional coordinates):
Tl 0.375 0.375 0.375
Tl 0.375 0.375 0.874
Tl 0.874 0.375 0.375
Tl 0.375 0.874 0.375
Ru 0.750 0.750 0.750
Si 0.000 0.000 0.000


The following is a PBE calculation of TlSi2Ru after structural relaxation, from the Alexandria database.

Results
The space group is I-42d (122). The value obtained for the distance to the lowest polymorph of the same formula is 120 kJ/mol of formula units. The value obtained for the electronic total energy is -5.328 eV/atom. Its raw formation energy is 0.2938 eV/atom.

Cell lengths 5.671, 5.671, 7.990 Å; angles 69.21, 69.21, 90.00 degrees
Atoms (fractional coordinates):
Tl 0.000 0.000 0.000
Tl 0.750 0.250 0.500
Si 0.375 0.621 0.750
Si 0.379 0.125 0.250
Si 0.875 0.629 0.750
Si 0.371 0.625 0.250
Ru 0.500 0.500 0.000
Ru 0.250 0.750 0.500


The following is a PBE calculation of TlSi2Ru after structural relaxation, from the Alexandria database.

Results
The space group is P4mm (99). The value obtained for the distance to the lowest polymorph of the same formula is 54 kJ/mol of formula units. The value obtained for the electronic total energy is -5.497 eV/atom. Its raw formation energy is 0.1248 eV/atom.

Cell lengths 3.088, 3.088, 7.730 Å; angles 90.00, 90.00, 90.00 degrees
Atoms (fractional coordinates):
Si 0.500 0.500 0.164
Si 0.000 0.000 0.971
Tl 0.000 0.000 0.529
Ru 0.500 0.500 0.835


The following is a PBE calculation of TlSi2Ru after structural relaxation, from the Alexandria database.

Results
The space group is C2/m (12). The value obtained for the distance to the lowest polymorph of the same formula is 28 kJ/mol of formula units. The value obtained for the electronic total energy is -5.565 eV/atom. Its raw formation energy is 0.0574 eV/atom.

Cell lengths 4.036, 4.036, 6.508 Å; angles 71.94, 71.94, 60.14 degrees
Atoms (fractional coordinates):
Ru 0.750 0.750 0.750
Si 0.450 0.450 0.649
Si 0.050 0.050 0.851
Tl 0.250 0.250 0.250


The following is a PBE calculation of TlSiRu4 after structural relaxation, from the Alexandria database.

Results
The space group is F-43m (216). The value obtained for the electronic total energy is -6.760 eV/atom. Its raw formation energy is 0.7220 eV/atom.

Cell lengths 5.197, 5.197, 5.197 Å; angles 60.00, 60.00, 60.00 degrees
Atoms (fractional coordinates):
Ru 0.376 0.376 0.873
Ru 0.873 0.376 0.376
Ru 0.376 0.873 0.376
Ru 0.376 0.376 0.376
Tl 0.000 0.000 0.000
Si 0.750 0.750 0.750


The following is a PBE calculation of TlSi2Ru after structural relaxation, from the Alexandria database.

Results
The space group is Pmmm (47). The value obtained for the distance to the lowest polymorph of the same formula is 0 kJ/mol of formula units. The value obtained for the electronic total energy is -5.638 eV/atom. Its raw formation energy is -0.0159 eV/atom.

Cell lengths 3.011, 2.957, 8.148 Å; angles 90.00, 90.00, 90.00 degrees
Atoms (fractional coordinates):
Si 0.000 0.250 0.574
Si 0.000 0.250 0.926
Ru 0.500 0.750 0.750
Tl 0.500 0.250 0.250